Density functional theory data (PBE-GGA) for crystalline Al3AsPd at its relaxed geometry.

```
Al3AsPd
1.0
-3.386 -0.040 -3.411
-1.298 -4.430 1.340
-3.155 1.865 3.110
As Al Pd
1 3 1
Direct
0.000 0.000 0.000
0.000 0.500 0.000
0.000 0.000 0.500
0.500 0.000 0.000
0.500 0.500 0.500
```

Values from the calculation:
Formation energy from the elements ... 3.11 eV per formula unit
E_tot ... -3.59 eV/atom
Theoretical density ... 3.9 g/cm3
ΔE to the lowest computed polymorph ... 0.563 eV per atom



Density functional theory data (PBE-GGA) for crystalline Al3AsPd at its relaxed geometry.

```
Al3AsPd
1.0
4.724 0.000 0.000
0.000 4.724 0.000
0.000 0.000 4.724
As Al Pd
1 3 1
Direct
0.500 0.500 0.500
0.000 0.500 0.000
0.000 0.000 0.500
0.500 0.000 0.000
0.000 0.000 0.000
```

Values from the calculation:
Formation energy from the elements ... 0.29 eV per formula unit
E_tot ... -4.16 eV/atom
Theoretical density ... 4.1 g/cm3
ΔE to the lowest computed polymorph ... 0.000 eV per atom



Density functional theory data (PBE-GGA) for crystalline AlAsPd6 at its relaxed geometry.

```
AlAsPd6
1.0
-1.670 -5.243 -2.680
2.804 -1.871 -5.124
3.083 -4.358 -0.383
Al As Pd
1 1 6
Direct
0.500 0.500 0.500
0.000 0.000 0.000
0.020 0.476 0.751
0.752 0.020 0.751
0.523 0.247 0.250
0.248 0.980 0.249
0.980 0.524 0.249
0.477 0.753 0.750
```

Values from the calculation:
Formation energy from the elements ... -2.43 eV per formula unit
E_tot ... -5.25 eV/atom
Theoretical density ... 9.4 g/cm3
ΔE to the lowest computed polymorph ... 0.042 eV per atom



Density functional theory data (PBE-GGA) for crystalline AlAs2Pd at its relaxed geometry.

```
AlAs2Pd
1.0
5.456 0.000 0.000
0.000 5.456 0.000
2.728 2.728 6.172
As Al Pd
4 2 2
Direct
0.635 0.125 0.250
0.115 0.625 0.250
0.375 0.365 0.750
0.875 0.885 0.750
0.500 0.500 0.000
0.250 0.750 0.500
0.000 0.000 0.000
0.750 0.250 0.500
```

Values from the calculation:
Formation energy from the elements ... -0.58 eV per formula unit
E_tot ... -4.70 eV/atom
Theoretical density ... 5.1 g/cm3



> Among the records above, which one has the highest formation energy from the elements?

number 1